Entry 1:
Material: PRuPbCl2
Method: DFT, meta-GGA SCAN
State: PBEsol geometry

Results
calculated volume = 105.1 Å³ per cell

Unit cell a=4.831 b=4.831 c=4.505 alpha=90.00 beta=90.00 gamma=90.00
Element x y z (fractional)
P: 0.000 0.000 0.000
Ru: 0.000 0.000 0.500
Pb: 0.500 0.500 0.000
Cl: 0.000 0.500 0.500
Cl: 0.500 0.000 0.500



Entry 2:
Material: P2RuPbCl
Method: DFT, meta-GGA SCAN
State: PBEsol geometry

Results
calculated volume = 103.7 Å³ per cell

Unit cell a=4.495 b=4.495 c=5.131 alpha=90.00 beta=90.00 gamma=90.00
Element x y z (fractional)
P: 0.000 0.500 0.000
P: 0.500 0.000 0.000
Ru: 0.000 0.000 0.000
Pb: 0.500 0.500 0.500
Cl: 0.000 0.000 0.500



Entry 3:
Material: P2PbSeCl
Method: DFT, meta-GGA SCAN
State: PBEsol geometry

Results
calculated volume = 113.8 Å³ per cell

Unit cell a=4.799 b=4.799 c=4.941 alpha=90.00 beta=90.00 gamma=90.00
Element x y z (fractional)
P: 0.000 0.500 0.000
P: 0.500 0.000 0.000
Pb: 0.000 0.000 0.500
Se: 0.500 0.500 0.000
Cl: 0.500 0.500 0.500



Entry 4:
Material: P2PbSeCl
Method: DFT, meta-GGA SCAN
State: PBEsol geometry

Results
calculated volume = 136.2 Å³ per cell

Unit cell a=5.203 b=5.203 c=5.030 alpha=90.00 beta=90.00 gamma=90.00
Element x y z (fractional)
P: 0.000 0.500 0.000
P: 0.500 0.000 0.000
Pb: 0.000 0.000 0.000
Se: 0.500 0.500 0.500
Cl: 0.000 0.000 0.500



Entry 5:
Material: PPbSe2Cl
Method: DFT, meta-GGA SCAN
State: PBEsol geometry

Results
calculated volume = 153.6 Å³ per cell

Unit cell a=5.385 b=5.385 c=5.298 alpha=90.00 beta=90.00 gamma=90.00
Element x y z (fractional)
P: 0.000 0.000 0.000
Pb: 0.000 0.000 0.500
Se: 0.000 0.500 0.500
Se: 0.500 0.000 0.500
Cl: 0.500 0.500 0.000



Entry 6:
Material: SnPPbCl2
Method: DFT, meta-GGA SCAN
State: PBEsol geometry

Results
calculated volume = 146.4 Å³ per cell

Unit cell a=5.242 b=5.242 c=5.329 alpha=90.00 beta=90.00 gamma=90.00
Element x y z (fractional)
Sn: 0.000 0.000 0.000
P: 0.500 0.500 0.000
Pb: 0.500 0.500 0.500
Cl: 0.000 0.500 0.500
Cl: 0.500 0.000 0.500



| no. | E_tot (eV per atom) |
| --- | --- |
| 1 | -27.46 |
| 2 | -27.70 |
| 3 | -24.37 |
| 4 | -23.87 |
| 5 | -25.94 |
| 6 | -27.55 |